1.
Entry from Alexandria via LeMat-Bulk: an optimized crystal structure of CsB (PBE).

The space group is I4/mmm (No. 139) and the conventional cell measures 13.280, 13.280 and 3.302 Å, with angles of 90.00, 90.00 and 90.00 degrees. The asymmetric unit holds Cs at (0.000, 0.250, 0.000) and B at (0.248, 0.248, 0.500).

For the energy above the most stable polymorph in this dataset, the calculation gives 148 meV per atom. The energy of formation from the pure elements is 0.422 eV/atom. The value obtained for the magnetic moment is 0.0 μB per formula unit. The value obtained for the final energy is -0.1229 Ha/atom.

---

2.
Entry from Alexandria via LeMat-Bulk: an optimized crystal structure of CsB (PBE).

The space group is P6_3/mmc (No. 194) and the conventional cell measures 12.4149, 12.4149 and 3.3058 Å, with angles of 90.00, 90.00 and 120.00 degrees. The asymmetric unit holds Cs at (0.2028, 0.4055, 0.2500) and B at (0.0036, 0.5018, 0.7500).

For the energy above the most stable polymorph in this dataset, the calculation gives 144 meV per atom. The energy of formation from the pure elements is 0.418 eV/atom. The value obtained for the magnetic moment is 0.0 μB per formula unit. The value obtained for the final energy is -0.1230 Ha/atom.

---

3.
Entry from Alexandria via LeMat-Bulk: an optimized crystal structure of CsB (PBE).

The space group is F-43m (No. 216) and the conventional cell measures 7.751, 7.751 and 7.751 Å, with angles of 90.00, 90.00 and 90.00 degrees. The asymmetric unit holds Cs at (0.000, 0.000, 0.000) and B at (0.250, 0.250, 0.250).

For the energy above the most stable polymorph in this dataset, the calculation gives 1956 meV per atom. The energy of formation from the pure elements is 2.230 eV/atom. The value obtained for the magnetic moment is 2.0 μB per formula unit. The value obtained for the final energy is -0.0564 Ha/atom.

---

4.
Entry from Alexandria via LeMat-Bulk: an optimized crystal structure of CsB (PBE).

The space group is P4_2/mnm (No. 136) and the conventional cell measures 7.494, 7.494 and 6.404 Å, with angles of 90.00, 90.00 and 90.00 degrees. The asymmetric unit holds Cs at (0.196, 0.196, 0.000) and B at (0.075, 0.075, 0.500).

For the energy above the most stable polymorph in this dataset, the calculation gives 854 meV per atom. The energy of formation from the pure elements is 1.127 eV/atom. The value obtained for the magnetic moment is 1.0 μB per formula unit. The value obtained for the final energy is -0.0969 Ha/atom.

---

5.
Entry from Alexandria via LeMat-Bulk: an optimized crystal structure of CsB7 (PBE).

The space group is R-3m (No. 166, hexagonal axes) and the conventional cell measures 5.6152, 5.6152 and 25.0007 Å, with angles of 90.00, 90.00 and 120.00 degrees. The asymmetric unit holds Cs at (0.0000, 0.0000, 0.1155), B at (0.0000, 0.0000, 0.3934), B at (0.0070, 0.5035, 0.0373) and B at (0.0170, 0.5085, 0.3392).

The energy of formation from the pure elements is 0.465 eV/atom. The value obtained for the magnetic moment is 0.0 μB per formula unit. The value obtained for the final energy is -0.2016 Ha/atom.

---

6.
Entry from Alexandria via LeMat-Bulk: an optimized crystal structure of CsB4 (PBE).

The space group is Pm-3m (No. 221) and the conventional cell measures 5.092, 5.092 and 5.092 Å, with angles of 90.00, 90.00 and 90.00 degrees. The asymmetric unit holds Cs at (0.000, 0.000, 0.000), B at (0.000, 0.000, 0.500) and B at (0.500, 0.500, 0.500).

The energy of formation from the pure elements is 4.196 eV/atom. The value obtained for the magnetic moment is 0.0 μB per formula unit. The value obtained for the final energy is -0.0484 Ha/atom.

---

7.
Entry from Alexandria via LeMat-Bulk: an optimized crystal structure of CsB (PBE).

The space group is P4/m (No. 83) and the conventional cell measures 11.541, 11.541 and 5.752 Å, with angles of 90.00, 90.00 and 90.00 degrees. The asymmetric unit holds Cs at (0.100, 0.663, 0.000), Cs at (0.260, 0.392, 0.500), B at (0.026, 0.562, 0.500) and B at (0.408, 0.541, 0.000).

For the energy above the most stable polymorph in this dataset, the calculation gives 561 meV per atom. The energy of formation from the pure elements is 0.835 eV/atom. The value obtained for the magnetic moment is 0.2 μB per formula unit. The value obtained for the final energy is -0.1077 Ha/atom.

---

8.
Entry from Alexandria via LeMat-Bulk: an optimized crystal structure of CsCuB3 (PBE).

The space group is Pm-3m (No. 221) and the conventional cell measures 4.304, 4.304 and 4.304 Å, with angles of 90.00, 90.00 and 90.00 degrees. The asymmetric unit holds Cs at (0.000, 0.000, 0.000), Cu at (0.500, 0.500, 0.500) and B at (0.000, 0.500, 0.500).

For the energy above the most stable polymorph in this dataset, the calculation gives 0 meV per atom. The energy of formation from the pure elements is 1.853 eV/atom. The value obtained for the magnetic moment is 0.0 μB per formula unit. The value obtained for the final energy is -0.1155 Ha/atom.

---

9.
Entry from Alexandria via LeMat-Bulk: an optimized crystal structure of Cs2CuB (PBE).

The space group is Fm-3m (No. 225) and the conventional cell measures 8.496, 8.496 and 8.496 Å, with angles of 90.00, 90.00 and 90.00 degrees. The asymmetric unit holds Cs at (0.250, 0.250, 0.250), Cu at (0.000, 0.000, 0.000) and B at (0.000, 0.000, 0.500).

The energy of formation from the pure elements is 1.271 eV/atom. The value obtained for the magnetic moment is 2.0 μB per formula unit. The value obtained for the final energy is -0.0679 Ha/atom.

---

10.
Entry from Alexandria via LeMat-Bulk: an optimized crystal structure of CsCuB3 (PBE).

The space group is Pm-3m (No. 221) and the conventional cell measures 4.961, 4.961 and 4.961 Å, with angles of 90.00, 90.00 and 90.00 degrees. The asymmetric unit holds Cs at (0.000, 0.000, 0.000), Cu at (0.500, 0.500, 0.500) and B at (0.000, 0.000, 0.500).

For the energy above the most stable polymorph in this dataset, the calculation gives 1699 meV per atom. The energy of formation from the pure elements is 3.552 eV/atom. The value obtained for the magnetic moment is 0.0 μB per formula unit. The value obtained for the final energy is -0.0531 Ha/atom.

---

11.
Entry from Alexandria via LeMat-Bulk: an optimized crystal structure of CsCuB2F8 (PBE).

The space group is R-3 (No. 148, hexagonal axes) and the conventional cell measures 5.2045, 5.2045 and 23.9154 Å, with angles of 90.00, 90.00 and 120.00 degrees. The asymmetric unit holds Cs at (0.0000, 0.0000, 0.0000), Cu at (0.0000, 0.0000, 0.5000), B at (0.0000, 0.0000, 0.2401), F at (0.0000, 0.0000, 0.2998) and F at (0.0189, 0.2675, 0.2215).

The calculation puts the uncorrected formation energy at -2.605 eV per atom. The value obtained for the magnetic moment is 0.1 μB per formula unit. The value obtained for the final energy is -0.1976 Ha/atom.

---

12.
Entry from Alexandria via LeMat-Bulk: an optimized crystal structure of CsCuGe2B (PBE).

The space group is P4/mmm (No. 123) and the conventional cell measures 5.292, 5.292 and 4.031 Å, with angles of 90.00, 90.00 and 90.00 degrees. The asymmetric unit holds Cs at (0.000, 0.000, 0.000), Cu at (0.500, 0.500, 0.500), Ge at (0.000, 0.500, 0.500) and B at (0.500, 0.500, 0.000).

The energy of formation from the pure elements is 0.944 eV/atom. The value obtained for the magnetic moment is 0.0 μB per formula unit. The value obtained for the final energy is -0.1187 Ha/atom.

---

13.
Entry from Alexandria via LeMat-Bulk: an optimized crystal structure of CsCuBH6 (PBE).

The space group is P1 (No. 1) and the conventional cell measures 4.926, 5.073 and 6.183 Å, with angles of 102.93, 90.30 and 118.10 degrees. The asymmetric unit holds Cs at (0.000, 0.000, 0.000), Cu at (0.597, 0.185, 0.542), B at (0.581, 0.720, 0.446), H at (0.371, 0.758, 0.537), H at (0.519, 0.601, 0.248), H at (0.550, 0.115, 0.286), H at (0.592, 0.531, 0.556), H at (0.655, 0.290, 0.804) and H at (0.845, 0.944, 0.503).

The value obtained for the magnetic moment is 0.0 μB per formula unit. The value obtained for the final energy is -0.1307 Ha/atom.

---

14.
Entry from Alexandria via LeMat-Bulk: an optimized crystal structure of CsCuHgB2 (PBE).

The space group is P4/mmm (No. 123) and the conventional cell measures 5.267, 5.267 and 5.566 Å, with angles of 90.00, 90.00 and 90.00 degrees. The asymmetric unit holds Cs at (0.000, 0.000, 0.000), Cu at (0.000, 0.000, 0.500), Hg at (0.500, 0.500, 0.500) and B at (0.000, 0.500, 0.000).

The energy of formation from the pure elements is 2.674 eV/atom. The value obtained for the magnetic moment is 0.0 μB per formula unit. The value obtained for the final energy is -0.0385 Ha/atom.

---

15.
Entry from Alexandria via LeMat-Bulk: an optimized crystal structure of CsIn2CuB (PBE).

The space group is P4/mmm (No. 123) and the conventional cell measures 5.478, 5.478 and 4.223 Å, with angles of 90.00, 90.00 and 90.00 degrees. The asymmetric unit holds Cs at (0.000, 0.000, 0.000), In at (0.000, 0.500, 0.500), Cu at (0.500, 0.500, 0.000) and B at (0.500, 0.500, 0.500).

The energy of formation from the pure elements is 0.634 eV/atom. The value obtained for the magnetic moment is 0.0 μB per formula unit. The value obtained for the final energy is -0.1024 Ha/atom.

---

16.
Entry from Alexandria via LeMat-Bulk: an optimized crystal structure of Cs2LaCuB (PBE).

The space group is P4/mmm (No. 123) and the conventional cell measures 6.296, 6.296 and 5.700 Å, with angles of 90.00, 90.00 and 90.00 degrees. The asymmetric unit holds Cs at (0.000, 0.500, 0.000), La at (0.000, 0.000, 0.500), Cu at (0.000, 0.000, 0.000) and B at (0.500, 0.500, 0.500).

The energy of formation from the pure elements is 1.366 eV/atom. The value obtained for the magnetic moment is 1.4 μB per formula unit. The value obtained for the final energy is -0.0777 Ha/atom.

---

17.
Entry from Alexandria via LeMat-Bulk: an optimized crystal structure of Cs2CuSiB (PBE).

The space group is P4/mmm (No. 123) and the conventional cell measures 6.876, 6.876 and 3.699 Å, with angles of 90.00, 90.00 and 90.00 degrees. The asymmetric unit holds Cs at (0.000, 0.500, 0.000), Cu at (0.000, 0.000, 0.500), Si at (0.500, 0.500, 0.500) and B at (0.500, 0.500, 0.000).

The calculation puts the uncorrected formation energy at 0.524 eV per atom. The value obtained for the magnetic moment is 0.0 μB per formula unit. The value obtained for the final energy is -0.1123 Ha/atom.

---

18.
Entry from Alexandria via LeMat-Bulk: an optimized crystal structure of CsDyB2H8 (PBE).

The space group is R-3m (No. 166, hexagonal axes) and the conventional cell measures 4.1047, 4.1047 and 25.9611 Å, with angles of 90.00, 90.00 and 120.00 degrees. The asymmetric unit holds Cs at (0.0000, 0.0000, 0.0000), Dy at (0.0000, 0.0000, 0.5000), B at (0.0000, 0.0000, 0.2314), H at (0.0000, 0.0000, 0.2785) and H at (0.0024, 0.5012, 0.4518).

The value obtained for the magnetic moment is 0.0 μB per formula unit. The value obtained for the final energy is -0.1492 Ha/atom.

---

19.
Entry from Alexandria via LeMat-Bulk: an optimized crystal structure of Cs2DyBO4 (PBE).

The space group is Fddd (No. 70, origin choice 2) and the conventional cell measures 5.125, 12.061 and 24.187 Å, with angles of 90.00, 90.00 and 90.00 degrees. The asymmetric unit holds Cs at (0.125, 0.125, 0.303), Dy at (0.125, 0.125, 0.125), B at (0.125, 0.125, 0.625) and O at (0.044, 0.299, 0.839).

The calculation puts the uncorrected formation energy at -2.117 eV per atom. The value obtained for the magnetic moment is 0.0 μB per formula unit. The value obtained for the final energy is -0.2286 Ha/atom.

---

20.
Entry from Alexandria via LeMat-Bulk: an optimized crystal structure of CsDyBS4 (PBE).

The space group is P2_1/m (No. 11) and the conventional cell measures 6.619, 5.543 and 9.727 Å, with angles of 90.00, 102.07 and 90.00 degrees. The asymmetric unit holds Cs at (0.247, 0.250, 0.466), Dy at (0.252, 0.250, 0.952), B at (0.245, 0.750, 0.157), S at (0.061, 0.750, 0.280), S at (0.122, 0.750, 0.961) and S at (0.471, 0.506, 0.195).

The calculation puts the uncorrected formation energy at -1.166 eV per atom. The value obtained for the magnetic moment is 0.0 μB per formula unit. The value obtained for the final energy is -0.1932 Ha/atom.